ScGeRh: optimized geometry, PBE.

The calculation puts the total magnetic moment at 0.00 μB/atom. The formation energy is -0.908 eV/atom. The volume comes out at 16.88 Å³/atom.

Unit cell a=11.9592 b=3.7882 c=6.7051 alpha=90.00 beta=90.00 gamma=90.00
Fractional coordinates of all 18 atoms:
Sc 0.0391 0.0000 0.2416
Sc 0.2500 0.0000 0.6478
Sc 0.4609 0.0000 0.2416
Sc 0.5391 0.0000 0.7584
Sc 0.7500 0.0000 0.3522
Sc 0.9609 0.0000 0.7584
Ge 0.0971 0.5000 0.5582
Ge 0.2500 0.0000 0.0602
Ge 0.4029 0.5000 0.5582
Ge 0.5971 0.5000 0.4418
Ge 0.7500 0.0000 0.9398
Ge 0.9029 0.5000 0.4418
Rh 0.1259 0.5000 0.9335
Rh 0.2500 0.5000 0.3014
Rh 0.3741 0.5000 0.9335
Rh 0.6259 0.5000 0.0665
Rh 0.7500 0.5000 0.6986
Rh 0.8741 0.5000 0.0665